Entry 1:
Material: Ce2SmPuS4
Method: DFT, GGA-PBE
State: relaxed

```
data_Ce2SmPuS4
_chemical_formula_sum 'Ce2 Sm1 Pu1 S4'
_cell_length_a 6.912
_cell_length_b 3.988
_cell_length_c 6.964
_cell_angle_alpha 90.00
_cell_angle_beta 109.32
_cell_angle_gamma 90.00
_symmetry_space_group_name_H-M 'P 1 2/m 1'
_symmetry_Int_Tables_number 10
_symmetry_space_group_name_Hall '-P 2y'
loop_
_atom_site_label
_atom_site_type_symbol
_atom_site_fract_x
_atom_site_fract_y
_atom_site_fract_z
Ce1 Ce 0.000 0.000 0.000
Ce2 Ce 0.500 0.500 0.000
Sm1 Sm 0.000 0.500 0.500
Pu1 Pu 0.500 0.000 0.500
S1 S 0.251 0.000 0.747
S2 S 0.254 0.500 0.256
```

Calculated values
raw formation energy: -15.8 eV per formula unit

---

Entry 2:
Material: NiHPt2Pb
Method: DFT, GGA-PBE
State: relaxed

```
data_NiHPt2Pb
_chemical_formula_sum 'Ni1 H1 Pt2 Pb1'
_cell_length_a 4.033
_cell_length_b 4.033
_cell_length_c 4.254
_cell_angle_alpha 90.00
_cell_angle_beta 90.00
_cell_angle_gamma 90.00
_symmetry_space_group_name_H-M 'P 4/m m m'
_symmetry_Int_Tables_number 123
_symmetry_space_group_name_Hall '-P 4 2'
loop_
_atom_site_label
_atom_site_type_symbol
_atom_site_fract_x
_atom_site_fract_y
_atom_site_fract_z
Ni1 Ni 0.000 0.000 0.000
H1 H 0.000 0.000 0.500
Pt1 Pt 0.000 0.500 0.500
Pb1 Pb 0.500 0.500 0.000
```

Calculated values
E: -4.9358 eV/atom

---

Entry 3:
Material: AcCu3Ge3
Method: DFT, GGA-PBE
State: relaxed

```
data_AcCu3Ge3
_chemical_formula_sum 'Ac6 Cu18 Ge18'
_cell_length_a 6.2356
_cell_length_b 6.2356
_cell_length_c 24.3918
_cell_angle_alpha 90.00
_cell_angle_beta 90.00
_cell_angle_gamma 120.00
_symmetry_space_group_name_H-M 'R -3'
_symmetry_Int_Tables_number 148
_symmetry_space_group_name_Hall '-R 3'
loop_
_atom_site_label
_atom_site_type_symbol
_atom_site_fract_x
_atom_site_fract_y
_atom_site_fract_z
Ac1 Ac 0.0000 0.0000 0.1879
Cu1 Cu 0.0415 0.7809 0.6918
Ge1 Ge 0.0496 0.5907 0.2532
```

Calculated values
E: -4.4370 eV/atom

---

Entry 4:
Material: LiAlBi2O5
Method: DFT, GGA-PBE
State: relaxed

```
data_LiAlBi2O5
_chemical_formula_sum 'Li4 Al4 Bi8 O20'
_cell_length_a 3.314
_cell_length_b 14.670
_cell_length_c 9.521
_cell_angle_alpha 90.00
_cell_angle_beta 90.00
_cell_angle_gamma 90.00
_symmetry_space_group_name_H-M 'C m c 21'
_symmetry_Int_Tables_number 36
_symmetry_space_group_name_Hall 'C 2c -2'
loop_
_atom_site_label
_atom_site_type_symbol
_atom_site_fract_x
_atom_site_fract_y
_atom_site_fract_z
Li1 Li 0.000 0.212 0.000
Al1 Al 0.000 0.434 0.462
Bi1 Bi 0.000 0.123 0.300
Bi2 Bi 0.000 0.145 0.683
O1 O 0.000 0.061 0.045
O2 O 0.000 0.296 0.671
O3 O 0.000 0.325 0.372
O4 O 0.000 0.344 0.016
O5 O 0.000 0.492 0.812
```

Calculated values
raw formation energy: -15.9 eV per formula unit

---

Entry 5:
Material: NaSm2Cd
Method: DFT, GGA-PBE
State: relaxed

```
data_NaSm2Cd
_chemical_formula_sum 'Na1 Sm2 Cd1'
_cell_length_a 5.437
_cell_length_b 5.437
_cell_length_c 3.974
_cell_angle_alpha 90.00
_cell_angle_beta 90.00
_cell_angle_gamma 90.00
_symmetry_space_group_name_H-M 'P 4/m m m'
_symmetry_Int_Tables_number 123
_symmetry_space_group_name_Hall '-P 4 2'
loop_
_atom_site_label
_atom_site_type_symbol
_atom_site_fract_x
_atom_site_fract_y
_atom_site_fract_z
Na1 Na 0.000 0.000 0.000
Sm1 Sm 0.000 0.500 0.500
Cd1 Cd 0.500 0.500 0.000
```

Calculated values
E: -2.9016 eV/atom

---

Entry 6:
Material: Tm2PuIr9
Method: DFT, GGA-PBE
State: relaxed

```
data_Tm2PuIr9
_chemical_formula_sum 'Tm6 Pu3 Ir27'
_cell_length_a 5.2899
_cell_length_b 5.2899
_cell_length_c 26.2377
_cell_angle_alpha 90.00
_cell_angle_beta 90.00
_cell_angle_gamma 120.00
_symmetry_space_group_name_H-M 'R -3 m'
_symmetry_Int_Tables_number 166
_symmetry_space_group_name_Hall '-R 3 2"'
loop_
_atom_site_label
_atom_site_type_symbol
_atom_site_fract_x
_atom_site_fract_y
_atom_site_fract_z
Tm1 Tm 0.0000 0.0000 0.1397
Pu1 Pu 0.0000 0.0000 0.0000
Ir1 Ir 0.0000 0.0000 0.3334
Ir2 Ir 0.0000 0.0000 0.5000
Ir3 Ir 0.0005 0.5003 0.9171
```

Calculated values
E: -9.1263 eV/atom

---

Entry 7:
Material: NiHgIr2
Method: DFT, GGA-PBE
State: relaxed

```
data_NiHgIr2
_chemical_formula_sum 'Ni2 Hg2 Ir4'
_cell_length_a 2.781
_cell_length_b 4.795
_cell_length_c 9.367
_cell_angle_alpha 90.00
_cell_angle_beta 90.00
_cell_angle_gamma 90.00
_symmetry_space_group_name_H-M 'C m m m'
_symmetry_Int_Tables_number 65
_symmetry_space_group_name_Hall '-C 2 2'
loop_
_atom_site_label
_atom_site_type_symbol
_atom_site_fract_x
_atom_site_fract_y
_atom_site_fract_z
Ni1 Ni 0.000 0.000 0.000
Hg1 Hg 0.000 0.000 0.500
Ir1 Ir 0.000 0.500 0.222
```

Calculated values
E: -5.4922 eV/atom

---

Entry 8:
Material: Sm4Al5Ge6
Method: DFT, GGA-PBE
State: relaxed

```
data_Sm4Al5Ge6
_chemical_formula_sum 'Sm16 Al20 Ge24'
_cell_length_a 4.230
_cell_length_b 19.778
_cell_length_c 15.566
_cell_angle_alpha 90.00
_cell_angle_beta 90.00
_cell_angle_gamma 90.00
_symmetry_space_group_name_H-M 'C m c 21'
_symmetry_Int_Tables_number 36
_symmetry_space_group_name_Hall 'C 2c -2'
loop_
_atom_site_label
_atom_site_type_symbol
_atom_site_fract_x
_atom_site_fract_y
_atom_site_fract_z
Sm1 Sm 0.000 0.014 0.000
Sm2 Sm 0.000 0.039 0.273
Sm3 Sm 0.000 0.166 0.811
Sm4 Sm 0.000 0.185 0.453
Al1 Al 0.000 0.146 0.132
Al2 Al 0.000 0.306 0.124
Al3 Al 0.000 0.341 0.791
Al4 Al 0.000 0.359 0.478
Al5 Al 0.000 0.441 0.191
Ge1 Ge 0.000 0.109 0.622
Ge2 Ge 0.000 0.211 0.997
Ge3 Ge 0.000 0.227 0.261
Ge4 Ge 0.000 0.421 0.917
Ge5 Ge 0.000 0.433 0.632
Ge6 Ge 0.000 0.443 0.356
```

Calculated values
E: -4.8390 eV/atom

---

Entry 9:
Material: SmHo2C2
Method: DFT, GGA-PBE
State: relaxed

```
data_SmHo2C2
_chemical_formula_sum 'Sm2 Ho4 C4'
_cell_length_a 3.667
_cell_length_b 5.048
_cell_length_c 11.236
_cell_angle_alpha 90.00
_cell_angle_beta 90.00
_cell_angle_gamma 90.00
_symmetry_space_group_name_H-M 'I m m m'
_symmetry_Int_Tables_number 71
_symmetry_space_group_name_Hall '-I 2 2'
loop_
_atom_site_label
_atom_site_type_symbol
_atom_site_fract_x
_atom_site_fract_y
_atom_site_fract_z
Sm1 Sm 0.000 0.000 0.000
Ho1 Ho 0.000 0.000 0.311
C1 C 0.000 0.500 0.333
```

Calculated values
E: -6.6535 eV/atom

---

Entry 10:
Material: Dy8Mg2Co
Method: DFT, GGA-PBE
State: relaxed

```
data_Dy8Mg2Co
_chemical_formula_sum 'Dy16 Mg4 Co2'
_cell_length_a 17.304
_cell_length_b 5.532
_cell_length_c 6.914
_cell_angle_alpha 90.00
_cell_angle_beta 111.67
_cell_angle_gamma 90.00
_symmetry_space_group_name_H-M 'C 1 2/m 1'
_symmetry_Int_Tables_number 12
_symmetry_space_group_name_Hall '-C 2y'
loop_
_atom_site_label
_atom_site_type_symbol
_atom_site_fract_x
_atom_site_fract_y
_atom_site_fract_z
Dy1 Dy 0.012 0.000 0.275
Dy2 Dy 0.101 0.500 0.897
Dy3 Dy 0.138 0.500 0.417
Dy4 Dy 0.194 0.000 0.744
Mg1 Mg 0.184 0.000 0.196
Co1 Co 0.000 0.500 0.500
```

Calculated values
E: -4.2927 eV/atom

---

Entry 11:
Material: Sb2P2Se
Method: DFT, GGA-PBE
State: relaxed

```
data_Sb2P2Se
_chemical_formula_sum 'Sb4 P4 Se2'
_cell_length_a 4.127
_cell_length_b 4.127
_cell_length_c 13.763
_cell_angle_alpha 90.00
_cell_angle_beta 90.00
_cell_angle_gamma 90.00
_symmetry_space_group_name_H-M 'I 4/m m m'
_symmetry_Int_Tables_number 139
_symmetry_space_group_name_Hall '-I 4 2'
loop_
_atom_site_label
_atom_site_type_symbol
_atom_site_fract_x
_atom_site_fract_y
_atom_site_fract_z
Sb1 Sb 0.000 0.000 0.119
P1 P 0.000 0.500 0.250
Se1 Se 0.000 0.000 0.500
```

Calculated values
raw formation energy: 1.5 eV per formula unit

---

Entry 12:
Material: LiLa6Co2
Method: DFT, GGA-PBE
State: relaxed

```
data_LiLa6Co2
_chemical_formula_sum 'Li4 La24 Co8'
_cell_length_a 9.588
_cell_length_b 10.287
_cell_length_c 10.539
_cell_angle_alpha 90.00
_cell_angle_beta 90.00
_cell_angle_gamma 90.00
_symmetry_space_group_name_H-M 'I m m m'
_symmetry_Int_Tables_number 71
_symmetry_space_group_name_Hall '-I 2 2'
loop_
_atom_site_label
_atom_site_type_symbol
_atom_site_fract_x
_atom_site_fract_y
_atom_site_fract_z
Li1 Li 0.000 0.000 0.000
Li2 Li 0.000 0.000 0.500
La1 La 0.000 0.204 0.214
La2 La 0.187 0.500 0.171
La3 La 0.195 0.327 0.500
Co1 Co 0.000 0.321 0.000
Co2 Co 0.000 0.500 0.356
```

Calculated values
E: -5.1643 eV/atom